## Cd2OsPt (PBE)

Data for a geometry-optimized Cd2OsPt structure.

Calculated values
Density (g cm⁻³): 14.6
Electronic total energy (Ry per atom): -0.328
Fermi-level density of states (states/eV/cell): 3.7
Energy of formation from the pure elements (eV/atom): 0.32

abc: 2.797 4.132 5.993
angles: 90.00 90.00 90.00
Fractional coordinates of all 4 atoms:
Pt: 0.500 0.500 0.736
Cd: 0.500 0.500 0.265
Os: 0.000 0.000 0.510
Cd: 0.000 0.000 0.988